16
Lattice="1.724 -6.112 0.000 1.724 6.112 0.000 0.000 0.000 11.986" Properties=species:S:1:pos:R:3 comment="BaTm2TcN4, optimized geometry, DFT PBE" formation_energy_uncorrected_ev_per_fu=-8.20 magmom_total_mub_per_cell=0.0 pbc="T T T"
Ba 1.724 5.235 8.990
Ba 1.724 -5.235 2.997
Tm 1.724 1.575 6.488
Tm 1.724 1.575 11.492
Tm 1.724 -1.575 0.495
Tm 1.724 -1.575 5.499
Tc 1.724 3.763 2.997
Tc 1.724 -3.763 8.990
N 0.000 0.000 0.000
N 0.000 0.000 5.993
N 1.724 2.996 1.279
N 1.724 2.996 4.715
N 1.724 1.286 8.990
N 1.724 -1.286 2.997
N 1.724 -2.996 7.272
N 1.724 -2.996 10.708

10
Lattice="4.870 0.000 0.000 0.000 7.597 0.000 0.000 0.000 6.686" Properties=species:S:1:pos:R:3 comment="Ce2SnHgIr, optimized geometry, DFT PBE" e_form_mev_per_atom=-538 magmom_total_mub_per_cell=2.7 pbc="T T T"
Ce 1.217 0.373 1.416
Ce 1.217 3.425 1.416
Ce 3.652 4.172 5.270
Ce 3.652 7.224 5.270
Sn 1.217 5.698 3.781
Sn 3.652 1.899 2.905
Hg 1.217 1.899 4.999
Hg 3.652 5.698 1.687
Ir 1.217 5.698 6.550
Ir 3.652 1.899 0.137

Repeat the second record exactly.
10
Lattice="4.870 0.000 0.000 0.000 7.597 0.000 0.000 0.000 6.686" Properties=species:S:1:pos:R:3 comment="Ce2SnHgIr, optimized geometry, DFT PBE" e_form_mev_per_atom=-538 magmom_total_mub_per_cell=2.7 pbc="T T T"
Ce 1.217 0.373 1.416
Ce 1.217 3.425 1.416
Ce 3.652 4.172 5.270
Ce 3.652 7.224 5.270
Sn 1.217 5.698 3.781
Sn 3.652 1.899 2.905
Hg 1.217 1.899 4.999
Hg 3.652 5.698 1.687
Ir 1.217 5.698 6.550
Ir 3.652 1.899 0.137

What is the formula in the second record? Ce2SnHgIr